Record 1
OsPt2Rh, optimized geometry, DFT GGA-PBE; density of states at the Fermi level = 0.797 states/eV/atom; E above lowest polymorph = 0 meV/atom; ΔH_f (0 K) = -21 meV/atom
1.0
9.2478 0.0073 0.0043
8.8366 2.7272 0.0043
8.8366 1.3361 2.3775
Pt Rh Os
2 1 1
direct
0.0026 0.0026 0.0026
0.2482 0.2482 0.2482
0.4962 0.4962 0.4962
0.7530 0.7530 0.7530

Record 2
OsPt2Rh, optimized geometry, DFT GGA-PBE; density of states at the Fermi level = 0.716 states/eV/atom; E above lowest polymorph = 11 meV/atom; ΔH_f (0 K) = -10 meV/atom
1.0
2.7460 0.0000 0.0000
0.0000 2.7460 0.0000
0.0000 0.0000 7.9217
Pt Os Rh
2 1 1
direct
0.5000 0.5000 0.2550
0.0000 0.0000 0.9883
0.5000 0.5000 0.7423
0.0000 0.0000 0.5143

Record 3
OsPt2Rh, optimized geometry, DFT GGA-PBE; density of states at the Fermi level = 0.815 states/eV/atom; E above lowest polymorph = 55 meV/atom; ΔH_f (0 K) = 34 meV/atom
1.0
4.7791 -0.0045 -0.0004
3.9901 2.6304 -0.0004
0.7712 0.2309 4.7264
Rh Os Pt
1 1 2
direct
0.5051 0.5051 0.4886
0.2478 0.2478 0.2561
0.9960 0.9960 0.0066
0.7511 0.7511 0.7487

Record 4
OsPtRh3, optimized geometry, DFT GGA-PBE; density of states at the Fermi level = 1.128 states/eV/atom; E above lowest polymorph = 0 meV/atom; ΔH_f (0 K) = 1 meV/atom
1.0
-3.8189 0.4775 0.2835
-0.6789 -2.5971 -4.7699
-1.0015 -11.9611 6.6551
Pt Rh Os
4 12 4
direct
0.7500 0.1259 0.8488
0.7500 0.6259 0.6512
0.2500 0.8741 0.1512
0.2500 0.3741 0.3488
0.2500 0.8713 0.9518
0.2500 0.3713 0.5482
0.7500 0.1287 0.0482
0.7500 0.6227 0.2463
0.7500 0.6223 0.8534
0.2500 0.3773 0.7537
0.7500 0.6287 0.4518
0.7500 0.1227 0.2537
0.2500 0.3777 0.1466
0.2500 0.8773 0.7463
0.2500 0.8777 0.3534
0.7500 0.1223 0.6466
0.7500 0.1149 0.4540
0.2500 0.8851 0.5460
0.2500 0.3851 0.9540
0.7500 0.6149 0.0460

Record 5
OsPtRh, optimized geometry, DFT GGA-PBE; density of states at the Fermi level = 1.158 states/eV/atom; E above lowest polymorph = 323 meV/atom; ΔH_f (0 K) = 314 meV/atom
1.0
-0.9624 1.4599 4.0472
-3.0809 0.0532 -3.1531
-0.7612 -2.4491 0.7024
Pt Rh Os
1 1 1
direct
0.3333 0.6667 0.0000
0.6667 0.3333 0.0000
0.0000 0.0000 0.5000

Record 6
OsPt2Rh, optimized geometry, DFT GGA-PBE; density of states at the Fermi level = 1.618 states/eV/atom; E above lowest polymorph = 159 meV/atom; ΔH_f (0 K) = 138 meV/atom
1.0
-2.9222 -2.4978 0.7008
1.4897 -0.7513 3.5335
-2.1215 2.9061 1.5123
Rh Pt Os
1 2 1
direct
0.5000 0.5000 0.5000
0.5000 0.0000 0.0000
0.0000 0.5000 0.0000
0.0000 0.0000 0.5000

Record 7
Os2PtRh, optimized geometry, DFT GGA-PBE; density of states at the Fermi level = 1.019 states/eV/atom; E above lowest polymorph = 34 meV/atom; ΔH_f (0 K) = 55 meV/atom
1.0
-1.1375 -2.0128 1.4660
3.4098 -1.8097 0.1610
1.2150 2.7035 4.6545
Os Pt Rh
2 1 1
direct
0.0000 0.0000 0.0089
0.5000 0.5000 0.2351
0.0000 0.0000 0.5002
0.5000 0.5000 0.7559

Record 8
OsPtRh2, optimized geometry, DFT GGA-PBE; density of states at the Fermi level = 0.858 states/eV/atom; E above lowest polymorph = 0 meV/atom; ΔH_f (0 K) = -44 meV/atom
1.0
-1.2277 0.5647 -2.3698
-1.4108 -2.3283 0.1757
-5.6941 3.7400 3.8411
Rh Pt Os
2 1 1
direct
0.0000 0.0000 0.0124
0.0000 0.0000 0.4876
0.5000 0.5000 0.7500
0.5000 0.5000 0.2500

Record 9
OsPt2Rh, optimized geometry, DFT GGA-PBE; density of states at the Fermi level = 1.182 states/eV/atom; E above lowest polymorph = 87 meV/atom; ΔH_f (0 K) = 66 meV/atom
1.0
9.1720 0.0166 0.0098
8.7518 2.7446 0.0098
8.7518 1.3483 2.3906
Rh Pt Os
1 2 1
direct
0.2500 0.2500 0.2500
0.0010 0.0010 0.0010
0.4990 0.4990 0.4990
0.7500 0.7500 0.7500

Record 10
Os2PtRh, optimized geometry, DFT GGA-PBE; density of states at the Fermi level = 0.817 states/eV/atom; E above lowest polymorph = 0 meV/atom; ΔH_f (0 K) = 21 meV/atom
1.0
3.8421 0.0000 -0.4567
0.0000 3.8662 0.0000
-2.9299 0.0000 8.2126
Os Rh Pt
4 2 2
direct
0.1211 0.7500 0.1178
0.6164 0.2500 0.1182
0.3836 0.7500 0.8818
0.8789 0.2500 0.8822
0.1322 0.2500 0.6325
0.8678 0.7500 0.3675
0.6308 0.7500 0.6309
0.3692 0.2500 0.3691

Record 11
OsPtRh3, optimized geometry, DFT GGA-PBE; density of states at the Fermi level = 1.259 states/eV/atom; E above lowest polymorph = 16 meV/atom; ΔH_f (0 K) = 17 meV/atom
1.0
-2.2361 3.0500 0.7947
-4.5139 -2.2192 5.2126
4.0319 2.1771 2.9894
Pt Os Rh
2 2 6
direct
0.8448 0.6661 0.1524
0.2381 0.8797 0.4612
0.6375 0.0807 0.7621
0.4454 0.4651 0.8515
0.8433 0.6692 0.6618
0.0433 0.2691 0.0488
0.0396 0.2767 0.5648
0.6411 0.0736 0.2540
0.4418 0.4722 0.3597
0.2396 0.8766 0.9518

Record 12
OsPt2Rh, optimized geometry, DFT GGA-PBE; density of states at the Fermi level = 1.310 states/eV/atom; E above lowest polymorph = 426 meV/atom; ΔH_f (0 K) = 405 meV/atom
1.0
0.0000 3.1319 3.1319
3.1319 0.0000 3.1319
3.1319 3.1319 0.0000
Pt Os Rh
2 1 1
direct
0.0000 0.0000 0.0000
0.7500 0.7500 0.7500
0.5000 0.5000 0.5000
0.2500 0.2500 0.2500

Record 13
OsPtRh2, optimized geometry, DFT GGA-PBE; density of states at the Fermi level = 1.221 states/eV/atom; E above lowest polymorph = 106 meV/atom; ΔH_f (0 K) = 62 meV/atom
1.0
4.7593 -0.0002 0.0003
1.6362 4.4692 -0.0003
-3.1987 -2.2331 2.7262
Rh Os Pt
2 1 1
direct
0.7500 0.2500 0.5000
0.0000 0.0000 0.0000
0.5000 0.5000 0.0000
0.2500 0.7500 0.5000

Record 14
OsPtRh2, optimized geometry, DFT GGA-PBE; density of states at the Fermi level = 1.439 states/eV/atom; E above lowest polymorph = 119 meV/atom; ΔH_f (0 K) = 75 meV/atom
1.0
-1.6341 2.3394 3.8075
-2.1051 1.6664 -3.9283
-1.9862 -1.8455 0.2815
Os Rh Pt
1 2 1
direct
0.0000 0.0000 0.5000
0.0000 0.5000 0.0000
0.5000 0.0000 0.0000
0.5000 0.5000 0.5000

Record 15
OsPt2Rh, optimized geometry, DFT GGA-PBE; density of states at the Fermi level = 1.287 states/eV/atom; E above lowest polymorph = 245 meV/atom; ΔH_f (0 K) = 224 meV/atom
1.0
5.1778 1.7740 0.6404
1.4622 5.0636 -1.6089
-2.9280 -3.4177 3.1801
Pt Rh Os
2 1 1
direct
0.9892 0.9892 0.0000
0.2557 0.7557 0.5000
0.5129 0.5129 0.0000
0.7422 0.2422 0.5000

Record 16
Os2PtRh, optimized geometry, DFT GGA-PBE; density of states at the Fermi level = 1.382 states/eV/atom; E above lowest polymorph = 506 meV/atom; ΔH_f (0 K) = 527 meV/atom
1.0
4.7255 0.0000 0.0000
0.0000 4.7255 0.0000
0.0000 0.0000 2.6954
Pt Rh Os
1 1 2
direct
0.5000 0.5000 0.5000
0.0000 0.0000 0.5000
0.0000 0.5000 0.0000
0.5000 0.0000 0.0000

Record 17
OsPtRh2, optimized geometry, DFT GGA-PBE; density of states at the Fermi level = 1.931 states/eV/atom; E above lowest polymorph = 474 meV/atom; ΔH_f (0 K) = 430 meV/atom
1.0
0.0000 3.1012 3.1012
3.1012 0.0000 3.1012
3.1012 3.1012 0.0000
Pt Rh Os
1 2 1
direct
0.7500 0.7500 0.7500
0.0000 0.0000 0.0000
0.2500 0.2500 0.2500
0.5000 0.5000 0.5000

Record 18
Os2Pt3Rh4, optimized geometry, DFT GGA-PBE; density of states at the Fermi level = 1.231 states/eV/atom; ΔH_f (0 K) = 43 meV/atom
1.0
2.6873 0.0000 -0.5786
-0.5740 6.9414 -2.6661
0.1559 -0.4647 7.2538
Pt Os Rh
3 2 4
direct
0.8527 0.3319 0.7053
0.0000 0.0000 0.0000
0.1473 0.6681 0.2947
0.6726 0.0049 0.3453
0.3274 0.9951 0.6547
0.5178 0.3274 0.0356
0.1833 0.3246 0.3665
0.8167 0.6754 0.6335
0.4822 0.6726 0.9644

Record 19
OsPt2Rh, optimized geometry, DFT GGA-PBE; density of states at the Fermi level = 1.367 states/eV/atom; E above lowest polymorph = 325 meV/atom; ΔH_f (0 K) = 304 meV/atom
1.0
2.7014 0.0000 0.0000
0.0000 4.7358 0.0000
0.0000 0.0000 4.7868
Os Rh Pt
1 1 2
direct
0.0000 0.5000 0.5000
0.5000 0.0000 0.5000
0.5000 0.5000 0.0000
0.0000 0.0000 0.0000

Record 20
OsPt2Rh, optimized geometry, DFT GGA-PBE; density of states at the Fermi level = 1.313 states/eV/atom; E above lowest polymorph = 631 meV/atom; ΔH_f (0 K) = 610 meV/atom
1.0
-5.6406 0.7790 4.0957
-3.8602 -3.5788 -4.6356
-4.1455 -3.6975 1.0001
Pt Rh Os
4 2 2
direct
0.6379 0.1250 0.2500
0.3750 0.3621 0.7500
0.1121 0.6250 0.2500
0.8750 0.8879 0.7500
0.5000 0.5000 0.0000
0.2500 0.7500 0.5000
0.0000 0.0000 0.0000
0.7500 0.2500 0.5000

Record 21
OsPt2Rh, optimized geometry, DFT GGA-PBE; density of states at the Fermi level = 1.266 states/eV/atom; E above lowest polymorph = 103 meV/atom; ΔH_f (0 K) = 82 meV/atom
1.0
-0.6335 2.2111 1.5407
-2.9263 0.8638 -2.4428
-3.4232 -3.0794 3.0118
Pt Rh Os
2 1 1
direct
0.0000 0.0000 0.9952
0.0000 0.0000 0.5048
0.5000 0.5000 0.2500
0.5000 0.5000 0.7500

Record 22
Os2PtRh6, optimized geometry, DFT GGA-PBE; density of states at the Fermi level = 1.231 states/eV/atom; ΔH_f (0 K) = 193 meV/atom
1.0
5.0790 0.1675 -0.7033
-1.2499 7.1332 -1.3340
0.1916 -0.0657 7.3609
Rh Pt Os
12 2 4
direct
0.3005 0.0827 0.4388
0.0185 0.7397 0.3557
0.8005 0.4388 0.0827
0.6982 0.7433 0.9567
0.4815 0.6443 0.2603
0.1982 0.9567 0.7433
0.3018 0.2567 0.0433
0.6995 0.9173 0.5612
0.5185 0.3557 0.7397
0.8018 0.0433 0.2567
0.1995 0.5612 0.9173
0.9815 0.2603 0.6443
0.7500 0.0929 0.9071
0.2500 0.9071 0.0929
0.1197 0.3868 0.3512
0.8803 0.6132 0.6488
0.3803 0.6488 0.6132
0.6197 0.3512 0.3868

Record 23
OsPt2Rh2, optimized geometry, DFT GGA-PBE; density of states at the Fermi level = 1.299 states/eV/atom; ΔH_f (0 K) = 26 meV/atom
1.0
-1.0534 1.6663 3.3481
1.6890 -2.2044 3.8834
3.0200 3.3417 1.5426
Rh Os Pt
2 1 2
direct
0.6041 0.5997 0.1915
0.3959 0.4003 0.8085
0.0000 0.0000 0.0000
0.2034 0.1966 0.3979
0.7966 0.8034 0.6021

Record 24
OsPtRh2, optimized geometry, DFT GGA-PBE; density of states at the Fermi level = 1.097 states/eV/atom; E above lowest polymorph = 83 meV/atom; ΔH_f (0 K) = 39 meV/atom
1.0
-3.6467 2.3854 1.8977
-4.0937 -2.1234 -1.1498
4.0356 -1.6683 1.8762
Os Rh Pt
1 2 1
direct
0.2500 0.7500 0.5000
0.5000 0.5000 0.0000
0.0000 0.0000 0.0000
0.7500 0.2500 0.5000

Record 25
OsPtRh, optimized geometry, DFT GGA-PBE; density of states at the Fermi level = 1.920 states/eV/atom; E above lowest polymorph = 673 meV/atom; ΔH_f (0 K) = 665 meV/atom
1.0
0.0000 2.9819 2.9819
2.9819 0.0000 2.9819
2.9819 2.9819 0.0000
Os Rh Pt
1 1 1
direct
0.2500 0.2500 0.2500
0.5000 0.5000 0.5000
0.0000 0.0000 0.0000

Record 26
OsPtRh2, optimized geometry, DFT GGA-PBE; density of states at the Fermi level = 1.389 states/eV/atom; E above lowest polymorph = 346 meV/atom; ΔH_f (0 K) = 301 meV/atom
1.0
-2.2282 3.1618 3.8052
-2.1501 -4.8649 -1.0727
0.3334 -1.3732 2.2650
Os Rh Pt
1 2 1
direct
0.0000 0.0000 0.0000
0.0000 0.5000 0.0000
0.5000 0.0000 0.0000
0.5000 0.5000 0.0000

Record 27
OsPtRh2, optimized geometry, DFT GGA-PBE; density of states at the Fermi level = 1.173 states/eV/atom; E above lowest polymorph = 622 meV/atom; ΔH_f (0 K) = 578 meV/atom
1.0
6.9602 0.0000 0.0000
0.0000 6.9602 0.0000
3.4801 3.4801 2.6948
Rh Pt Os
4 2 2
direct
0.5976 0.1250 0.2500
0.1524 0.6250 0.2500
0.3750 0.4024 0.7500
0.8750 0.8476 0.7500
0.0000 0.0000 0.0000
0.7500 0.2500 0.5000
0.5000 0.5000 0.0000
0.2500 0.7500 0.5000

Record 28
Os2PtRh, optimized geometry, DFT GGA-PBE; density of states at the Fermi level = 1.022 states/eV/atom; E above lowest polymorph = 73 meV/atom; ΔH_f (0 K) = 94 meV/atom
1.0
-4.2445 -0.5114 -2.0927
-3.7745 -2.8108 -0.7134
-2.7849 1.5521 3.5362
Os Rh Pt
2 1 1
direct
0.9983 0.9983 0.0083
0.2539 0.2539 0.2349
0.7461 0.7461 0.7550
0.5017 0.5017 0.5017